[1]
Compound: Ta2SiBr
Source: Alexandria
Functional: PBE
Structure: relaxed

Lattice parameters (Å, degrees): 3.322 3.322 7.480 90.00 90.00 90.00
Fractional coordinates of all 4 atoms:
Ta1 0.000 0.000 0.000
Ta2 0.500 0.500 0.226
Si1 0.500 0.500 0.860
Br1 0.000 0.000 0.473

Output
The raw formation energy comes out at 0.381 eV per formula unit. The value obtained for the energy above the most stable polymorph in this dataset is 0 meV per atom. As for the size of the total moment: 0.00 μB/atom. Its crystal system is tetragonal.

[2]
Compound: TaSiBr2
Source: Alexandria
Functional: PBE
Structure: relaxed

Lattice parameters (Å, degrees): 4.922 4.922 3.192 90.00 90.00 90.00
Fractional coordinates of all 4 atoms:
Ta1 0.000 0.000 0.000
Si1 0.500 0.500 0.000
Br1 0.000 0.500 0.500
Br2 0.500 0.000 0.500

Output
The raw formation energy comes out at 3.596 eV per formula unit. The value obtained for the energy above the most stable polymorph in this dataset is 1201 meV per atom. As for the size of the total moment: 0.00 μB/atom. Its crystal system is tetragonal.

[3]
Compound: Ta2SiBr
Source: Alexandria
Functional: PBE
Structure: relaxed

Lattice parameters (Å, degrees): 3.579 4.833 9.391 90.00 90.00 90.00
Fractional coordinates of all 8 atoms:
Ta1 0.000 0.000 0.000
Ta2 0.000 0.500 0.236
Ta3 0.500 0.000 0.236
Ta4 0.500 0.500 0.000
Si1 0.000 0.500 0.796
Si2 0.500 0.000 0.796
Br1 0.000 0.000 0.449
Br2 0.500 0.500 0.449

Output
The raw formation energy comes out at 0.647 eV per formula unit. The value obtained for the energy above the most stable polymorph in this dataset is 67 meV per atom. As for the size of the total moment: 0.00 μB/atom. Its crystal system is orthorhombic.

[4]
Compound: Ta2SiBr
Source: Alexandria
Functional: PBE
Structure: relaxed

Lattice parameters (Å, degrees): 2.980 4.672 10.250 90.00 90.00 90.00
Fractional coordinates of all 8 atoms:
Ta1 0.000 0.000 0.000
Ta2 0.000 0.500 0.225
Ta3 0.500 0.000 0.725
Ta4 0.500 0.500 0.500
Si1 0.000 0.000 0.506
Si2 0.500 0.500 0.006
Br1 0.000 0.500 0.722
Br2 0.500 0.000 0.222

Output
The raw formation energy comes out at 1.408 eV per formula unit. The value obtained for the energy above the most stable polymorph in this dataset is 257 meV per atom. As for the size of the total moment: 0.00 μB/atom. Its crystal system is orthorhombic.

[5]
Compound: TaSiBr2
Source: Alexandria
Functional: PBE
Structure: relaxed

Lattice parameters (Å, degrees): 3.103 3.103 10.106 90.00 90.00 90.00
Fractional coordinates of all 4 atoms:
Ta1 0.000 0.000 0.000
Si1 0.000 0.000 0.500
Br1 0.500 0.500 0.165
Br2 0.500 0.500 0.835

Output
The raw formation energy comes out at 1.947 eV per formula unit. The value obtained for the energy above the most stable polymorph in this dataset is 788 meV per atom. As for the size of the total moment: 0.00 μB/atom. Its crystal system is tetragonal.

[6]
Compound: TaSiBr2
Source: Alexandria
Functional: PBE
Structure: relaxed

Lattice parameters (Å, degrees): 9.769 3.183 7.758 90.00 109.70 90.00
Fractional coordinates of all 8 atoms:
Ta1 0.000 0.000 0.000
Ta2 0.500 0.500 0.000
Si1 0.284 0.000 0.000
Si2 0.784 0.500 0.000
Br1 0.135 0.500 0.277
Br2 0.487 0.000 0.723
Br3 0.635 0.000 0.277
Br4 0.987 0.500 0.723

Output
The raw formation energy comes out at -0.371 eV per formula unit. The value obtained for the energy above the most stable polymorph in this dataset is 209 meV per atom. As for the size of the total moment: 0.19 μB/atom. Its crystal system is monoclinic.

[7]
Compound: Ta2SiBr
Source: Alexandria
Functional: PBE
Structure: relaxed

Lattice parameters (Å, degrees): 2.953 2.953 9.194 90.00 90.00 90.00
Fractional coordinates of all 4 atoms:
Ta1 0.000 0.000 0.000
Ta2 0.500 0.500 0.242
Si1 0.500 0.500 0.789
Br1 0.000 0.000 0.439

Output
The raw formation energy comes out at 0.836 eV per formula unit. The value obtained for the energy above the most stable polymorph in this dataset is 114 meV per atom. As for the size of the total moment: 0.00 μB/atom. Its crystal system is tetragonal.

[8]
Compound: TaSiBr2
Source: Alexandria
Functional: PBE
Structure: relaxed

Lattice parameters (Å, degrees): 3.101 4.674 5.503 90.00 90.00 90.00
Fractional coordinates of all 4 atoms:
Ta1 0.000 0.000 0.000
Si1 0.500 0.000 0.500
Br1 0.000 0.500 0.500
Br2 0.500 0.500 0.000

Output
The raw formation energy comes out at 2.517 eV per formula unit. The value obtained for the energy above the most stable polymorph in this dataset is 931 meV per atom. As for the size of the total moment: 0.05 μB/atom. Its crystal system is orthorhombic.

[9]
Compound: TaSiBr2
Source: Alexandria
Functional: PBE
Structure: relaxed

Lattice parameters (Å, degrees): 3.140 6.087 10.001 90.00 90.00 90.00
Fractional coordinates of all 8 atoms:
Ta1 0.000 0.000 0.000
Ta2 0.500 0.500 0.000
Si1 0.000 0.500 0.207
Si2 0.500 0.000 0.207
Br1 0.000 0.000 0.409
Br2 0.000 0.500 0.791
Br3 0.500 0.000 0.791
Br4 0.500 0.500 0.409

Output
The raw formation energy comes out at 0.685 eV per formula unit. The value obtained for the energy above the most stable polymorph in this dataset is 473 meV per atom. As for the size of the total moment: 0.00 μB/atom. Its crystal system is orthorhombic.

[10]
Compound: TaSiBr2
Source: Alexandria
Functional: PBE
Structure: relaxed

Lattice parameters (Å, degrees): 6.537 7.569 3.163 90.00 90.00 90.00
Fractional coordinates of all 8 atoms:
Ta1 0.000 0.000 0.000
Ta2 0.500 0.500 0.000
Si1 0.000 0.500 0.000
Si2 0.500 0.000 0.000
Br1 0.250 0.250 0.500
Br2 0.250 0.750 0.500
Br3 0.750 0.250 0.500
Br4 0.750 0.750 0.500

Output
The raw formation energy comes out at 3.601 eV per formula unit. The value obtained for the energy above the most stable polymorph in this dataset is 1202 meV per atom. As for the size of the total moment: 0.00 μB/atom. Its crystal system is orthorhombic.

[11]
Compound: TaSiBr2
Source: Alexandria
Functional: PBE
Structure: relaxed

Lattice parameters (Å, degrees): 3.191 3.191 34.536 90.00 90.00 120.00
Fractional coordinates of all 12 atoms:
Ta1 0.000 0.000 0.000
Ta2 0.333 0.667 0.667
Ta3 0.667 0.333 0.333
Si1 0.000 0.000 0.500
Si2 0.333 0.667 0.167
Si3 0.667 0.333 0.833
Br1 0.000 0.000 0.277
Br2 0.000 0.000 0.723
Br3 0.333 0.667 0.390
Br4 0.333 0.667 0.944
Br5 0.667 0.333 0.056
Br6 0.667 0.333 0.610

Output
The raw formation energy comes out at 0.863 eV per formula unit. The value obtained for the energy above the most stable polymorph in this dataset is 518 meV per atom. As for the size of the total moment: 0.07 μB/atom. Its crystal system is trigonal.

[12]
Compound: TaSiBr2
Source: Alexandria
Functional: PBE
Structure: relaxed

Lattice parameters (Å, degrees): 3.195 3.195 34.674 90.00 90.00 120.00
Fractional coordinates of all 12 atoms:
Ta1 0.000 0.000 0.000
Ta2 0.333 0.667 0.667
Ta3 0.667 0.333 0.333
Si1 0.000 0.000 0.500
Si2 0.333 0.667 0.167
Si3 0.667 0.333 0.833
Br1 0.000 0.000 0.389
Br2 0.000 0.000 0.611
Br3 0.333 0.667 0.056
Br4 0.333 0.667 0.277
Br5 0.667 0.333 0.723
Br6 0.667 0.333 0.944

Output
The raw formation energy comes out at 0.934 eV per formula unit. The value obtained for the energy above the most stable polymorph in this dataset is 535 meV per atom. As for the size of the total moment: 0.00 μB/atom. Its crystal system is trigonal.